Entry 1:
Entry from the Open Quantum Materials Database: an optimized crystal structure of Sm2Ho2CI2Br2Cl (PBE).

Results
- energy above the most stable polymorph in this dataset (meV/atom) = 14
- magnetic moment (Bohr magnetons per cell) = 0.04

Cell: 18.623 3.852 8.106 Å, 90.00 101.93 90.00°
Space group C2/m (No. 12)
Asymmetric unit:
Sm  0.136  0.000  0.073 (multiplicity 4)
Ho  0.002  0.500  0.797 (multiplicity 4)
C  0.000  0.000  0.000 (multiplicity 2)
I  0.170  0.500  0.799 (multiplicity 4)
Br  0.153  0.500  0.347 (multiplicity 4)
Cl  0.000  0.000  0.500 (multiplicity 2)

=====

Entry 2:
Entry from the Open Quantum Materials Database: an optimized crystal structure of Sm2Ho2CI2Br2Cl (PBE).

Results
- energy above the most stable polymorph in this dataset (meV/atom) = 30
- magnetic moment (Bohr magnetons per cell) = 0.02

Cell: 18.336 3.863 8.137 Å, 90.00 101.91 90.00°
Space group C2/m (No. 12)
Asymmetric unit:
Sm  0.138  0.000  0.070 (multiplicity 4)
Ho  0.003  0.500  0.798 (multiplicity 4)
C  0.000  0.000  0.000 (multiplicity 2)
I  0.163  0.500  0.369 (multiplicity 4)
Br  0.166  0.500  0.818 (multiplicity 4)
Cl  0.000  0.000  0.500 (multiplicity 2)

=====

Entry 3:
Entry from the Open Quantum Materials Database: an optimized crystal structure of Sm2Ho2CIBr2Cl2 (PBE).

Results
- uncorrected energy (eV per cell) = -102.27
- magnetic moment (Bohr magnetons per cell) = 0.01

Cell: 17.275 3.894 8.703 Å, 90.00 104.14 90.00°
Space group C2/m (No. 12)
Asymmetric unit:
Sm  0.001  0.000  0.307 (multiplicity 4)
Ho  0.143  0.500  0.572 (multiplicity 4)
C  0.000  0.500  0.500 (multiplicity 2)
I  0.000  0.500  0.000 (multiplicity 2)
Br  0.175  0.000  0.817 (multiplicity 4)
Cl  0.173  0.000  0.371 (multiplicity 4)

=====

Entry 4:
Entry from the Open Quantum Materials Database: an optimized crystal structure of Y2Ho2CI2Br2Cl (PBE).

Results
- energy above the most stable polymorph in this dataset (meV/atom) = 16
- magnetic moment (Bohr magnetons per cell) = 0.01

Cell: 18.596 3.835 8.011 Å, 90.00 100.99 90.00°
Space group C2/m (No. 12)
Asymmetric unit:
Y  0.131  0.000  0.060 (multiplicity 4)
Ho  0.002  0.500  0.796 (multiplicity 4)
C  0.000  0.000  0.000 (multiplicity 2)
I  0.164  0.500  0.355 (multiplicity 4)
Br  0.164  0.500  0.818 (multiplicity 4)
Cl  0.000  0.000  0.500 (multiplicity 2)

=====

Entry 5:
Entry from the Open Quantum Materials Database: an optimized crystal structure of Y2Ho2CI2Br2Cl (PBE).

Results
- energy above the most stable polymorph in this dataset (meV/atom) = 2
- magnetic moment (Bohr magnetons per cell) = 0.02

Cell: 18.519 3.830 8.007 Å, 90.00 101.77 90.00°
Space group C2/m (No. 12)
Asymmetric unit:
Y  0.133  0.000  0.071 (multiplicity 4)
Ho  0.001  0.500  0.795 (multiplicity 4)
C  0.000  0.000  0.000 (multiplicity 2)
I  0.172  0.500  0.804 (multiplicity 4)
Br  0.155  0.500  0.341 (multiplicity 4)
Cl  0.000  0.000  0.500 (multiplicity 2)

=====

Entry 6:
Entry from the Open Quantum Materials Database: an optimized crystal structure of Y2Ho2CI2Br2Cl (PBE).

Results
- energy above the most stable polymorph in this dataset (meV/atom) = 11
- magnetic moment (Bohr magnetons per cell) = 0.02

Cell: 18.686 3.846 8.030 Å, 90.00 100.92 90.00°
Space group C2/m (No. 12)
Asymmetric unit:
Y  0.002  0.000  0.294 (multiplicity 4)
Ho  0.129  0.500  0.559 (multiplicity 4)
C  0.000  0.500  0.500 (multiplicity 2)
I  0.165  0.000  0.851 (multiplicity 4)
Br  0.164  0.000  0.323 (multiplicity 4)
Cl  0.000  0.500  0.000 (multiplicity 2)